(1)
This record from Alexandria describes a geometry-optimized NaSbAsI2 structure. The functional is GGA-PBE.

calculated volume	39.4	A^3/atom
SG	No. 123
E	-10.1	eV/cell
crystal system	tetragonal
formation energy from raw total energies	0.6267	eV/atom

abc: 5.626 5.626 6.223
angles: 90.00 90.00 90.00
Fractional coordinates of all 5 atoms:
I 0.000 0.500 0.000
I 0.500 0.000 0.000
Sb 0.000 0.000 0.500
As 0.500 0.500 0.500
Na 0.000 0.000 0.000

(2)
This record from Alexandria describes a geometry-optimized AcDyU2O8 structure. The functional is GGA-PBE.

calculated volume	17.6	A^3/atom
SG	No. 119
E	-107.9	eV/cell
crystal system	tetragonal
formation energy from raw total energies	-3.0795	eV/atom

abc: 6.501 6.501 6.501
angles: 109.08 109.08 110.25
Fractional coordinates of all 12 atoms:
Ac 0.250 0.750 0.500
Dy 0.000 0.000 0.000
U 0.750 0.250 0.500
U 0.500 0.500 0.000
O 0.366 0.059 0.307
O 0.293 0.466 0.173
O 0.293 0.120 0.827
O 0.751 0.059 0.693
O 0.880 0.707 0.173
O 0.941 0.249 0.307
O 0.941 0.634 0.693
O 0.534 0.707 0.827

(3)
This record from Alexandria describes a geometry-optimized DyHoCdRu structure. The functional is GGA-PBE.

calculated volume	22.9	A^3/atom
formation energy	-160	kJ/mol of formula units
SG	No. 99
E	-21.0	eV/cell
crystal system	tetragonal

abc: 3.454 3.454 7.672
angles: 90.00 90.00 90.00
Fractional coordinates of all 4 atoms:
Dy 0.500 0.500 0.786
Ho 0.500 0.500 0.356
Cd 0.000 0.000 0.073
Ru 0.000 0.000 0.570

calculated volume of number 3 (DyHoCdRu)?
22.9 A^3/atom